# NaVZn2F8

NaVZn2F8 after structural relaxation (PBE+U, Alexandria via LeMat-Bulk).

abc: 5.9669 5.9669 5.9669
angles: 108.72 108.72 110.99
Closest atoms and distances in Å follow each position.
Atoms (fractional coordinates):
1 F 0.3550 0.0670 0.2880  1 Zn 1.92, 1 V 2.05
2 Zn 0.5000 0.5000 0.0000  4 F 1.93
3 F 0.8961 0.7196 0.1764  1 Zn 1.93
4 F 0.5432 0.7196 0.8236  1 Zn 1.93
5 Na 0.2500 0.7500 0.5000  4 F 2.26
6 F 0.9330 0.2210 0.2880  1 Zn 1.92, 1 V 2.05
7 F 0.7790 0.0670 0.7120  1 Zn 1.92, 1 V 2.05
8 F 0.9330 0.6450 0.7120  1 Zn 1.92, 1 V 2.05
9 F 0.2804 0.4568 0.1764  1 Zn 1.93
10 F 0.2804 0.1039 0.8236  1 Zn 1.93
11 V 0.0000 0.0000 0.0000  8 F 2.05-2.26
12 Zn 0.7500 0.2500 0.5000  4 F 1.92

Calculated values
* D(E_F): 6.85 states/eV/f.u.
* uncorrected energy: -4.574 eV per atom
* space-group type: No. 119